DFT (PBE) results for a relaxed structure of YVN.

Cell: 3.3001 3.3001 8.3352 Å, 90.00 90.00 90.00°
Closest atoms and distances in Å follow each position.
Element x y z (fractional)
Y 0.2500 0.2500 0.1889  4 N 2.62
Y 0.7500 0.7500 0.8111  4 N 2.62
V 0.2500 0.7500 0.5000  4 N 2.17, 4 V 2.33
V 0.7500 0.2500 0.5000  4 N 2.17, 4 V 2.33
N 0.2500 0.2500 0.6686  4 V 2.17
N 0.7500 0.7500 0.3314  4 V 2.17

The calculation puts the polymorph energy (0 for the lowest one) at 0.0000 eV/atom. The density comes out at 5.63 Mg/m³. For the volume, the calculation gives 15.129 A^3/atom.